1.
Below is an optimized crystal structure of DyAsPdO, with properties calculated at the PBE level.

Values from the calculation:
E_tot = -6.30 eV/atom
crystal system = orthorhombic

a b c (Å): 4.9411 4.6490 5.8865
angles (deg): 90.00 90.00 90.00
With the nearest neighbours (Å) after each atom.
Fractional coordinates of all 8 atoms:
1 Dy 0.0000 0.2213 0.0000  2 O 2.16-2.19
2 Dy 0.0000 0.7787 0.5000  2 O 2.16-2.19
3 As 0.5000 0.0991 0.6958  3 Pd 2.46-2.52
4 As 0.5000 0.9009 0.1958  3 Pd 2.46-2.52
5 Pd 0.5000 0.4056 0.3436  3 As 2.46-2.52, 2 O 2.49
6 Pd 0.5000 0.5944 0.8436  3 As 2.46-2.52, 2 O 2.49
7 O 0.0000 0.3451 0.3539  2 Dy 2.16-2.19
8 O 0.0000 0.6549 0.8539  2 Dy 2.16-2.19

=====

2.
Below is an optimized crystal structure of ZnPbSO, with properties calculated at the PBE level.

Values from the calculation:
E_tot = -4.41 eV/atom
crystal system = orthorhombic
distance to the lowest polymorph of the same formula = 52 meV/atom

a b c (Å): 7.1421 7.0583 6.3675
angles (deg): 90.00 90.00 90.00
With the nearest neighbours (Å) after each atom.
Fractional coordinates of all 16 atoms:
1 Zn 0.0934 0.1434 0.0000  1 O 1.96
2 Zn 0.4066 0.1434 0.5000  1 O 1.96
3 Zn 0.5934 0.8566 0.0000  1 O 1.96
4 Zn 0.9066 0.8566 0.5000  1 O 1.96
5 Pb 0.1362 0.6384 0.9197  2 O 2.23-2.36
6 Pb 0.3638 0.6384 0.4197  2 O 2.23-2.36
7 Pb 0.6362 0.3616 0.9197  2 O 2.23-2.36
8 Pb 0.8638 0.3616 0.4197  2 O 2.23-2.36
9 S 0.1016 0.1004 0.6338  3 Zn 2.35-2.37
10 S 0.3984 0.1004 0.1338  3 Zn 2.35-2.37
11 S 0.6016 0.8996 0.6338  3 Zn 2.35-2.37
12 S 0.8984 0.8996 0.1338  3 Zn 2.35-2.37
13 O 0.0045 0.3942 0.0872  1 Zn 1.96
14 O 0.4955 0.3942 0.5872  1 Zn 1.96
15 O 0.5045 0.6058 0.0872  1 Zn 1.96
16 O 0.9955 0.6058 0.5872  1 Zn 1.96

=====

3.
Below is an optimized crystal structure of YZr3, with properties calculated at the PBE level.

Values from the calculation:
energy of formation = 0.055 eV/atom
E_tot = -7.97 eV/atom
crystal system = orthorhombic
distance to the lowest polymorph of the same formula = 3 meV/atom

a b c (Å): 6.6361 6.6361 5.2362
angles (deg): 90.00 90.00 119.86
With the nearest neighbours (Å) after each atom.
Fractional coordinates of all 8 atoms:
1 Y 0.0864 0.9136 0.7500  10 Zr 3.24-3.40, 2 Y 3.29
2 Y 0.9136 0.0864 0.2500  10 Zr 3.24-3.40, 2 Y 3.29
3 Zr 0.0900 0.4273 0.7500  8 Zr 3.21-3.44, 4 Y 3.24-3.40
4 Zr 0.4177 0.5823 0.2500  10 Zr 3.23-3.34, 2 Y 3.33
5 Zr 0.4273 0.0900 0.2500  8 Zr 3.21-3.44, 4 Y 3.24-3.40
6 Zr 0.5727 0.9100 0.7500  8 Zr 3.21-3.44, 4 Y 3.24-3.40
7 Zr 0.5823 0.4177 0.7500  10 Zr 3.23-3.34, 2 Y 3.33
8 Zr 0.9100 0.5727 0.2500  8 Zr 3.21-3.44, 4 Y 3.24-3.40

=====

- Which value of E_tot does entry 3 give?
  -7.97 eV/atom

=====

Repeat the first record exactly.
Below is an optimized crystal structure of DyAsPdO, with properties calculated at the PBE level.

Values from the calculation:
E_tot = -6.30 eV/atom
crystal system = orthorhombic

a b c (Å): 4.9411 4.6490 5.8865
angles (deg): 90.00 90.00 90.00
With the nearest neighbours (Å) after each atom.
Fractional coordinates of all 8 atoms:
1 Dy 0.0000 0.2213 0.0000  2 O 2.16-2.19
2 Dy 0.0000 0.7787 0.5000  2 O 2.16-2.19
3 As 0.5000 0.0991 0.6958  3 Pd 2.46-2.52
4 As 0.5000 0.9009 0.1958  3 Pd 2.46-2.52
5 Pd 0.5000 0.4056 0.3436  3 As 2.46-2.52, 2 O 2.49
6 Pd 0.5000 0.5944 0.8436  3 As 2.46-2.52, 2 O 2.49
7 O 0.0000 0.3451 0.3539  2 Dy 2.16-2.19
8 O 0.0000 0.6549 0.8539  2 Dy 2.16-2.19

=====

- Look up the E_tot of the first one.
  -6.30 eV/atom